Entry 1:
The following is a DFT calculation (PBE) of a relaxed In2W crystal.

Properties
The energy comes out at -29.009 eV per cell. Its space-group type is Fd-3m (227). Its formation energy is 1.308 eV/atom.

Structure (POSCAR):
```
In2W
1.0
0.0000 3.9343 3.9343
3.9343 0.0000 3.9343
3.9343 3.9343 0.0000
In W
4 2
Cartesian
0.9836 2.9507 2.9507 In
2.9507 0.9836 2.9507 In
2.9507 2.9507 0.9836 In
0.9836 0.9836 0.9836 In
3.9343 3.9343 3.9343 W
5.9015 5.9015 5.9015 W
```



Entry 2:
The following is a DFT calculation (PBE) of a relaxed Na2TlCd3 crystal.

Properties
The energy comes out at -16.814 eV per cell. Its space-group type is Fmmm (69). Its formation energy is -0.110 eV/atom.

Structure (POSCAR):
```
Na2TlCd3
1.0
6.0266 -0.2665 -1.2707
-2.6131 5.4372 -1.2707
0.1608 0.2435 9.5350
Na Tl Cd
4 2 6
Cartesian
-0.3728 4.1330 3.4969 Na
2.5566 3.8726 -1.9033 Na
3.9471 1.2812 3.4969 Na
0.8569 1.2981 -0.6380 Na
1.2433 1.8833 5.5018 Tl
2.3310 3.5310 1.4919 Tl
3.7522 0.9163 6.9045 Cd
4.2060 1.6038 0.0892 Cd
-0.1779 4.4979 0.0892 Cd
-0.6317 3.8105 6.9045 Cd
2.9620 4.4866 4.2838 Cd
0.6124 0.9276 2.7099 Cd
```



Entry 3:
The following is a DFT calculation (PBE) of a relaxed Cd2PbAu2 crystal.

Properties
The energy comes out at -25.303 eV per cell. Its space-group type is C2/m (12). Its energy above the most stable polymorph in this dataset is 7 meV per atom. Its formation energy is -0.112 eV/atom.

Structure (POSCAR):
```
Cd2PbAu2
1.0
-1.7312 -3.6055 0.1660
2.6761 -3.3375 3.6852
-5.1588 0.7185 10.0697
Cd Pb Au
4 2 4
Cartesian
-1.5564 -1.3139 3.4970 Cd
-2.6575 -4.9107 10.4238 Cd
-1.7900 -5.5197 6.2428 Cd
-2.4239 -0.7048 7.6780 Cd
0.1573 -4.3584 3.5098 Pb
-4.3712 -1.8662 10.4111 Pb
-1.3223 -3.4279 8.2875 Au
-2.8916 -2.7966 5.6333 Au
-2.0046 -3.4078 1.6087 Au
-2.2093 -2.8167 12.3122 Au
```



Entry 4:
The following is a DFT calculation (PBE) of a relaxed KScPb2F8 crystal.

Properties
The energy comes out at -65.300 eV per cell. Its space-group type is P2/m (10).

Structure (POSCAR):
```
KScPb2F8
1.0
-2.6315 -1.9434 2.9523
2.2985 -4.8411 -2.0781
5.8184 0.4185 5.4612
K Sc Pb F
1 1 2 8
Cartesian
2.9092 0.2092 2.7306 K
0.0000 0.0000 0.0000 Sc
4.2117 -3.0774 4.5466 Pb
1.2737 -3.2886 1.7888 Pb
2.7507 -3.7480 -0.3562 F
0.2820 -4.9866 0.0814 F
-0.8072 -2.8730 3.3672 F
2.7347 -2.6180 6.6916 F
5.2034 -1.3795 6.2540 F
6.2926 -3.4930 2.9682 F
3.3222 -4.2751 2.6341 F
2.1633 -2.0909 3.7014 F
```



Entry 5:
The following is a DFT calculation (PBE) of a relaxed ScAlTe2 crystal.

Properties
The energy comes out at -18.945 eV per cell. Its space-group type is P4/mmm (123).

Structure (POSCAR):
```
ScAlTe2
1.0
-1.6682 2.8610 -2.5587
-3.6337 -0.2786 2.0576
1.7674 4.3485 3.7100
Sc Te Al
1 2 1
Cartesian
-1.1051 5.0948 2.9946 Sc
1.5463 3.8044 3.2459 Te
-1.9883 2.9216 1.1405 Te
0.6636 1.6328 1.3931 Al
```



Entry 6:
The following is a DFT calculation (PBE) of a relaxed Li2TbCd2 crystal.

Properties
The energy comes out at -22.871 eV per cell. Its space-group type is C2/m (12). Its energy above the most stable polymorph in this dataset is 0 meV per atom. Its formation energy is -0.229 eV/atom.

Structure (POSCAR):
```
Li2TbCd2
1.0
0.8523 2.2454 -2.5504
3.6692 -5.0207 -3.1942
-10.4086 0.2226 -0.8765
Li Tb Cd
4 2 4
Cartesian
-2.0330 -2.2394 -2.6511 Li
-2.0194 -2.8236 -5.5671 Li
-3.8541 -0.3133 -3.9699 Li
-3.8676 0.2709 -1.0540 Li
1.7696 0.9902 -3.3489 Tb
2.7519 -3.7655 -2.3957 Tb
-4.5746 -3.0973 -4.2558 Cd
-6.4092 -0.5869 -2.6587 Cd
-1.3125 0.5446 -2.3653 Cd
0.5221 -1.9658 -3.9624 Cd
```



Entry 7:
The following is a DFT calculation (PBE) of a relaxed Ca7Mn2N6 crystal.

Properties
The energy comes out at -91.671 eV per cell. Its space-group type is C2/m (12).

Structure (POSCAR):
```
Ca7Mn2N6
1.0
-2.7275 5.6631 2.5690
-0.6208 -5.4402 4.0161
4.9164 1.2931 2.7639
Ca Mn N
7 2 6
Cartesian
-1.6742 0.1115 3.2925 Ca
1.1026 -0.9211 4.8933 Ca
0.4655 2.4371 4.4556 Ca
2.1213 4.9709 4.0923 Ca
3.5754 -2.6931 5.0912 Ca
-0.5532 -3.4549 5.2567 Ca
-2.0073 4.2091 4.2578 Ca
2.4877 0.8575 2.9578 Mn
-0.9196 0.6585 6.3911 Mn
2.7051 2.7724 3.1483 N
3.3714 -0.7392 3.6060 N
-1.1370 -1.2564 6.2007 N
-1.8033 2.2552 5.7430 N
0.5777 0.5053 3.0359 N
0.9904 1.0107 6.3131 N
```



Entry 8:
The following is a DFT calculation (PBE) of a relaxed Na3Sr2Sn2 crystal.

Properties
The energy comes out at -17.609 eV per cell. Its space-group type is C2/m (12). Its formation energy is -0.326 eV/atom.

Structure (POSCAR):
```
Na3Sr2Sn2
1.0
-0.4088 -4.1202 2.9154
5.7192 0.5095 -2.8758
1.8674 4.6727 6.8656
Na Sr Sn
3 2 2
Cartesian
3.7406 -0.3100 0.0865 Na
0.0000 0.0000 0.0000 Na
3.4372 1.3720 6.8187 Na
1.8628 -0.6890 3.6853 Sr
5.3151 1.7510 3.2199 Sr
2.1656 2.7995 4.2601 Sn
5.0123 -1.7376 2.6451 Sn
```



Entry 9:
The following is a DFT calculation (PBE) of a relaxed ReSb2IrI crystal.

Properties
The energy comes out at -23.650 eV per cell. Its space-group type is P4/mmm (123). Its energy above the most stable polymorph in this dataset is 5 meV per atom.

Structure (POSCAR):
```
ReSb2IrI
1.0
-3.7651 0.2830 3.4637
3.0305 -2.2322 3.4766
1.8131 4.9066 1.5699
I Re Ir Sb
1 1 1 2
Cartesian
0.9065 2.4533 0.7850 I
0.5392 1.4787 4.2551 Re
0.0000 0.0000 0.0000 Ir
1.5152 -1.1161 1.7383 Sb
-1.8825 0.1415 1.7318 Sb
```



Entry 10:
The following is a DFT calculation (PBE) of a relaxed CoRu crystal.

Properties
The energy comes out at -32.295 eV per cell. Its space-group type is P-3m1 (164). Its formation energy is 0.117 eV/atom.

Structure (POSCAR):
```
CoRu
1.0
-0.9645 2.2924 -0.9559
-1.4488 -1.4471 1.7047
3.3696 4.0429 6.2959
Co Ru
2 2
Cartesian
0.0284 0.0341 0.0531 Co
-0.4734 0.7760 2.3387 Co
1.6674 2.0006 3.1155 Ru
1.2572 2.8524 5.5722 Ru
```



Entry 11:
The following is a DFT calculation (PBE) of a relaxed NdMgAl2Ag2 crystal.

Properties
The energy comes out at -21.327 eV per cell. Its space-group type is P-3m1 (164). Its formation energy is -0.296 eV/atom.

Structure (POSCAR):
```
NdMgAl2Ag2
1.0
4.5096 0.0000 0.0000
-2.2548 3.9054 0.0000
0.0000 0.0000 7.2022
Nd Mg Al Ag
1 1 2 2
Cartesian
0.0000 0.0000 0.0000 Nd
0.0000 0.0000 3.6011 Mg
0.0000 2.6036 5.1901 Al
2.2548 1.3018 2.0120 Al
0.0000 2.6036 2.2116 Ag
2.2548 1.3018 4.9905 Ag
```



Entry 12:
The following is a DFT calculation (PBE) of a relaxed NdFeN2 crystal.

Properties
The energy comes out at -30.791 eV per cell. Its space-group type is R-3m (166). Its energy above the most stable polymorph in this dataset is 492 meV per atom.

Structure (POSCAR):
```
NdFeN2
1.0
-3.2706 -1.8425 -0.5851
-0.5214 -3.4608 1.4781
-3.4398 0.5871 5.0439
Nd Fe N
1 1 2
Cartesian
-3.6159 -2.3581 2.9684 Nd
0.0000 0.0000 0.0000 Fe
-2.7802 -0.1267 3.6052 N
-4.4515 -4.5895 2.3317 N
```